# 1
Entry from Alexandria: a relaxed Al4PPb crystal (GGA-PBE).

The formation energy is 335 meV/atom.

```
Al4PPb
1.0
0.0000 3.8933 3.8933
3.8933 0.0000 3.8933
3.8933 3.8933 0.0000
P Al Pb
1 4 1
direct
0.7500 0.7500 0.7500
0.8738 0.3754 0.3754
0.3754 0.3754 0.8738
0.3754 0.3754 0.3754
0.3754 0.8738 0.3754
0.0000 0.0000 0.0000
```

# 2
Entry from Alexandria: a relaxed Y3InGa2 crystal (GGA-PBE).

The formation energy is -450 meV/atom.

```
Y3InGa2
1.0
-2.1527 1.5555 -3.8323
-3.4363 -1.8176 1.1925
-1.0441 5.7514 5.7575
Y Ga In
3 2 1
direct
0.6713 0.0000 0.3426
0.3287 0.0000 0.6574
0.5000 0.5000 0.0000
0.1450 0.5000 0.2899
0.8550 0.5000 0.7101
0.0000 0.0000 0.0000
```

# 3
Entry from Alexandria: a relaxed Li2ReSiN4 crystal (GGA-PBE).

The value obtained for the uncorrected formation energy is -0.540 eV/atom.

```
Li2ReSiN4
1.0
-2.3223 4.3135 1.5652
-2.1463 0.7580 -5.2733
-5.0458 -3.2902 1.5808
Si N Re Li
2 8 2 4
direct
0.4980 0.8446 0.0000
0.9980 0.1554 0.5000
0.9101 0.3041 0.7362
0.8399 0.8697 0.0000
0.4101 0.6959 0.7638
0.3598 0.1261 0.0000
0.3399 0.1303 0.5000
0.4101 0.6959 0.2362
0.9101 0.3041 0.2638
0.8598 0.8739 0.5000
0.4991 0.8404 0.5000
0.9991 0.1596 0.0000
0.9915 0.6595 0.2491
0.4915 0.3405 0.7491
0.4915 0.3405 0.2509
0.9915 0.6595 0.7509
```

# 4
Entry from Alexandria: a relaxed SiTc2Ru crystal (GGA-PBE).

The value obtained for the uncorrected formation energy is -0.246 eV/atom.

```
SiTc2Ru
1.0
-2.8221 -4.0562 1.1168
1.1583 -4.3897 -2.2480
1.5910 3.7449 3.0181
Tc Si Ru
2 1 1
direct
0.4783 0.4783 0.0000
0.0217 0.0217 0.0000
0.2500 0.7500 0.5000
0.7500 0.2500 0.5000
```

# 5
Entry from Alexandria: a relaxed Tb5DyHo7 crystal (GGA-PBE).

The formation energy is 257 meV/atom. The energy above the most stable polymorph in this dataset is 0 meV/atom.

```
Tb5DyHo7
1.0
6.2394 0.0000 2.2864
2.9781 7.9522 1.5296
0.3800 -0.0882 8.6194
Tb Ho Dy
5 7 1
direct
0.5381 0.4581 0.0037
0.5381 0.0037 0.4581
0.0001 0.0037 0.4581
0.0001 0.4581 0.0037
0.7689 0.7311 0.7311
0.0196 0.3108 0.6499
0.5184 0.1512 0.8119
0.2687 0.2313 0.2313
0.0196 0.6499 0.3108
0.5184 0.8119 0.1512
0.5758 0.4242 0.4242
0.2701 0.7299 0.7299
0.9640 0.0360 0.0360
```

# 6
Entry from Alexandria: a relaxed Mn2CdHPd6 crystal (GGA-PBE).

As for the total energy: -53.4 eV per cell.

```
Mn2CdHPd6
1.0
-0.4454 -1.3632 -6.7554
5.6124 1.4246 -0.6512
-1.5442 -3.0605 6.0368
H Mn Pd Cd
1 2 6 1
direct
0.9434 0.9707 0.9404
0.6601 0.1352 0.2706
0.3507 0.8723 0.7423
0.9528 0.8635 0.1903
0.4809 0.7349 0.4685
0.0615 0.1457 0.8245
0.0612 0.6793 0.8237
0.5310 0.2723 0.5438
0.9530 0.3283 0.1912
0.5044 0.5019 0.0027
```

# 7
Entry from Alexandria: a relaxed MgTa2Be crystal (GGA-PBE).

The formation energy is 529 meV/atom. The energy above the most stable polymorph in this dataset is 398 meV/atom.

```
MgTa2Be
1.0
0.0000 3.1685 3.1685
3.1685 0.0000 3.1685
3.1685 3.1685 0.0000
Ta Mg Be
2 1 1
direct
0.2500 0.2500 0.2500
0.7500 0.7500 0.7500
0.5000 0.5000 0.5000
0.0000 0.0000 0.0000
```

# 8
Entry from Alexandria: a relaxed Sr3Ru2O8 crystal (GGA-PBE).

The value obtained for the uncorrected formation energy is -1.754 eV/atom.

```
Sr3Ru2O8
1.0
5.8114 0.0000 0.0000
2.9057 5.0328 0.0000
2.9057 1.6776 6.8591
O Sr Ru
8 3 2
direct
0.3159 0.3159 0.0523
0.2194 0.7371 0.3064
0.7371 0.2194 0.3064
0.7806 0.2629 0.6936
0.6841 0.6841 0.9477
0.7371 0.7371 0.3064
0.2629 0.2629 0.6936
0.2629 0.7806 0.6936
0.1998 0.1998 0.4006
0.8002 0.8002 0.5994
0.0000 0.0000 0.0000
0.5957 0.5957 0.2128
0.4043 0.4043 0.7872
```

Number 1: calculated volume 118.0 Å³/f.u.. Number 2: calculated volume 149.1 Å³/f.u.. Number 3: calculated volume 92.0 Å³/f.u.. Number 4: calculated volume 55.0 Å³/f.u.. Number 5: calculated volume 421.0 Å³/f.u.. Number 6: calculated volume 143.0 Å³/f.u.. Number 7: calculated volume 63.6 Å³/f.u.. Number 8: calculated volume 200.6 Å³/f.u..